(1)
Crystalline SnClF2 at its relaxed geometry, computed with PBE.

Output
Uncorrected energy in eV for the cell shown: -14.85
ΔE to the lowest computed polymorph in meV/atom: 86
Formation energy (no corrections) in eV/f.u.: -5.3

a = 8.846 Å, b = 8.846 Å, c = 8.846 Å
α = 25.11°, β = 25.11°, γ = 25.11°
Site moments in Bohr magnetons follow the coordinates.
Atoms (fractional coordinates):
Sn1 0.500 0.500 0.500  0.08
F1 0.868 0.868 0.868  0.05
F2 0.132 0.132 0.132  0.05
Cl1 0.000 0.000 0.000  0.62

---

(2)
Crystalline SnClF at its relaxed geometry, computed with PBE.

Output
Uncorrected energy in eV for the cell shown: -50.82
ΔE to the lowest computed polymorph in meV/atom: 0
Formation energy (no corrections) in eV/f.u.: -5.0

a = 4.397 Å, b = 6.328 Å, c = 10.620 Å
α = 90.00°, β = 90.00°, γ = 90.00°
Atoms (fractional coordinates):
Cl1 0.750 0.597 0.864
F1 0.750 0.603 0.521
Sn1 0.750 0.282 0.422
Cl2 0.250 0.903 0.364
Sn2 0.250 0.718 0.578
Sn3 0.250 0.218 0.922
F2 0.750 0.103 0.979
F3 0.250 0.897 0.021
Cl3 0.250 0.403 0.136
Cl4 0.750 0.097 0.636
F4 0.250 0.397 0.479
Sn4 0.750 0.782 0.078

---

(3)
Crystalline Sn6ClF8 at its relaxed geometry, computed with PBE.

Output
Uncorrected energy in eV for the cell shown: -65.66
Formation energy (no corrections) in eV/f.u.: -24.8

a = 7.015 Å, b = 7.015 Å, c = 7.858 Å
α = 63.49°, β = 63.49°, γ = 60.00°
Atoms (fractional coordinates):
F1 0.633 0.142 0.407
Sn1 0.055 0.733 0.744
Sn2 0.532 0.945 0.256
Sn3 0.267 0.532 0.256
F2 0.367 0.858 0.593
F3 0.592 0.592 0.223
Sn4 0.733 0.468 0.744
Cl1 0.000 0.000 0.000
F4 0.858 0.182 0.593
Sn5 0.945 0.267 0.256
F5 0.818 0.633 0.407
F6 0.182 0.367 0.593
F7 0.142 0.818 0.407
Sn6 0.468 0.055 0.744
F8 0.408 0.408 0.777

---

(4)
Crystalline SnClF at its relaxed geometry, computed with PBE.

Output
Uncorrected energy in eV for the cell shown: -25.31
ΔE to the lowest computed polymorph in meV/atom: 17
Formation energy (no corrections) in eV/f.u.: -4.9

a = 4.185 Å, b = 4.236 Å, c = 8.716 Å
α = 89.75°, β = 61.57°, γ = 90.43°
Atoms (fractional coordinates):
Cl1 0.902 0.759 0.341
Sn1 0.628 0.160 0.202
Cl2 0.098 0.241 0.659
F1 0.776 0.779 0.000
F2 0.224 0.221 0.000
Sn2 0.372 0.840 0.798

---

(5)
Crystalline SnClF2 at its relaxed geometry, computed with PBE.

Output
Uncorrected energy in eV for the cell shown: -30.38
ΔE to the lowest computed polymorph in meV/atom: 0
Formation energy (no corrections) in eV/f.u.: -5.6

a = 4.816 Å, b = 4.816 Å, c = 7.791 Å
α = 72.00°, β = 72.00°, γ = 90.00°
Atoms (fractional coordinates):
Cl1 0.250 0.750 0.500
Sn1 0.750 0.250 0.500
F1 0.832 0.125 0.250
Cl2 0.500 0.500 0.000
F2 0.875 0.082 0.750
F3 0.918 0.625 0.250
F4 0.375 0.168 0.750
Sn2 0.000 0.000 0.000

---

(6)
Crystalline Sn4ClF6 at its relaxed geometry, computed with PBE.

Output
Uncorrected energy in eV for the cell shown: -49.00
Formation energy (no corrections) in eV/f.u.: -19.9

a = 7.053 Å, b = 7.053 Å, c = 7.053 Å
α = 77.35°, β = 127.55°, γ = 127.55°
Atoms (fractional coordinates):
Sn1 0.000 0.188 0.589
F1 0.336 0.460 0.460
Sn2 0.401 0.812 0.812
Sn3 0.000 0.589 0.188
F2 0.500 0.000 0.500
F3 0.500 0.500 0.000
Cl1 0.000 0.000 0.000
F4 0.664 0.124 0.124
Sn4 0.599 0.411 0.411
F5 0.000 0.876 0.540
F6 0.000 0.540 0.876

---

(7)
Crystalline Sn4Cl6F at its relaxed geometry, computed with PBE.

Output
Uncorrected energy in eV for the cell shown: -78.97
Formation energy (no corrections) in eV/f.u.: -10.5

a = 6.698 Å, b = 9.588 Å, c = 9.588 Å
α = 90.00°, β = 90.00°, γ = 90.00°
Atoms (fractional coordinates):
Sn1 0.191 0.500 0.744
Cl1 0.000 0.191 0.809
Cl2 0.384 0.500 0.000
Sn2 0.309 0.000 0.756
Sn3 0.191 0.500 0.256
Cl3 0.884 0.500 0.000
F1 0.000 0.500 0.500
Sn4 0.691 0.244 0.000
Cl4 0.000 0.191 0.191
Sn5 0.691 0.756 0.000
Cl5 0.500 0.691 0.691
Cl6 0.500 0.309 0.309
Sn6 0.309 0.000 0.244
Cl7 0.500 0.309 0.691
Cl8 0.116 0.000 0.500
Sn7 0.809 0.256 0.500
Cl9 0.616 0.000 0.500
Cl10 0.000 0.809 0.191
F2 0.500 0.000 0.000
Cl11 0.000 0.809 0.809
Sn8 0.809 0.744 0.500
Cl12 0.500 0.691 0.309

---

(8)
Crystalline SnClF at its relaxed geometry, computed with PBE.

Output
Uncorrected energy in eV for the cell shown: -12.40
ΔE to the lowest computed polymorph in meV/atom: 103
Formation energy (no corrections) in eV/f.u.: -4.7

a = 4.652 Å, b = 4.108 Å, c = 4.108 Å
α = 120.00°, β = 90.00°, γ = 90.00°
Atoms (fractional coordinates):
F1 0.189 0.333 0.667
Sn1 0.095 0.000 0.000
Cl1 0.716 0.667 0.333

---

> The lowest formation energy (no corrections) belongs to which entry?

Sn6ClF8

---

> Look up the formation energy (no corrections) of the first one.

-5.3 eV/f.u.

---

> Look up the uncorrected energy of the fourth one.

-25.31 eV for the cell shown

---

> Which of these has the lowest uncorrected energy?

Sn4Cl6F